Record 1
Fe3Co2TeP6O24 after structural relaxation. Source: the Alexandria database, functional GGA-PBEsol.

D(E_F) (states/eV/f.u.): 23.3
Formation energy (no corrections) (meV/atom): -1640.4
Calculated volume (Å³/f.u.): 420.9

Cell: 8.280 8.280 8.280 Å, 62.18 62.18 62.18°
Atoms (fractional coordinates):
1 P 0.749 0.065 0.441
2 P 0.065 0.441 0.749
3 P 0.441 0.749 0.065
4 P 0.529 0.254 0.959
5 P 0.959 0.529 0.254
6 P 0.254 0.959 0.529
7 Te 0.851 0.851 0.851
8 Co 0.000 0.000 0.000
9 Co 0.499 0.499 0.499
10 Fe 0.357 0.357 0.357
11 Fe 0.138 0.138 0.138
12 Fe 0.646 0.646 0.646
13 O 0.893 0.510 0.686
14 O 0.510 0.686 0.893
15 O 0.686 0.893 0.510
16 O 0.912 0.064 0.243
17 O 0.815 0.071 0.582
18 O 0.587 0.263 0.411
19 O 0.064 0.243 0.912
20 O 0.263 0.411 0.587
21 O 0.372 0.183 0.993
22 O 0.411 0.587 0.263
23 O 0.735 0.087 0.949
24 O 0.993 0.372 0.183
25 O 0.071 0.582 0.815
26 O 0.243 0.912 0.064
27 O 0.556 0.409 0.757
28 O 0.582 0.815 0.071
29 O 0.757 0.556 0.409
30 O 0.949 0.735 0.087
31 O 0.409 0.757 0.556
32 O 0.183 0.993 0.372
33 O 0.087 0.949 0.735
34 O 0.324 0.117 0.491
35 O 0.491 0.324 0.117
36 O 0.117 0.491 0.324

=====

Record 2
MgInCl2 after structural relaxation. Source: the Alexandria database, functional GGA-PBEsol.

D(E_F) (states/eV/f.u.): 1.7
Formation energy (no corrections) (meV/atom): -428.1
Calculated volume (Å³/f.u.): 93.3
Relative energy among the computed polymorphs (meV per atom): 772

Cell: 5.092 5.092 5.092 Å, 60.00 60.00 60.00°
Atoms (fractional coordinates):
1 Cl 0.000 0.000 0.000
2 Cl 0.250 0.250 0.250
3 In 0.500 0.500 0.500
4 Mg 0.750 0.750 0.750

=====

Record 3
Ti3Cu2P6WO24 after structural relaxation. Source: the Alexandria database, functional GGA-PBEsol.

D(E_F) (states/eV/f.u.): 7.9
Formation energy (no corrections) (meV/atom): -2222.2
Calculated volume (Å³/f.u.): 447.8

Cell: 8.631 8.631 8.545 Å, 59.67 59.67 60.00°
Atoms (fractional coordinates):
1 Ti 0.360 0.360 0.921
2 Ti 0.140 0.140 0.579
3 Ti 0.641 0.641 0.078
4 Cu 0.005 0.005 0.986
5 Cu 0.500 0.500 0.501
6 P 0.041 0.748 0.753
7 P 0.458 0.041 0.753
8 P 0.748 0.458 0.753
9 P 0.254 0.536 0.251
10 P 0.536 0.960 0.251
11 P 0.960 0.254 0.251
12 W 0.861 0.861 0.418
13 O 0.503 0.877 0.930
14 O 0.689 0.503 0.930
15 O 0.877 0.689 0.930
16 O 0.055 0.914 0.762
17 O 0.004 0.808 0.568
18 O 0.233 0.586 0.739
19 O 0.269 0.055 0.762
20 O 0.442 0.233 0.739
21 O 0.188 0.377 0.433
22 O 0.586 0.442 0.739
23 O 0.089 0.731 0.237
24 O 0.377 0.002 0.433
25 O 0.621 0.004 0.568
26 O 0.914 0.269 0.762
27 O 0.415 0.554 0.263
28 O 0.808 0.621 0.568
29 O 0.554 0.767 0.263
30 O 0.731 0.943 0.237
31 O 0.767 0.415 0.263
32 O 0.002 0.188 0.433
33 O 0.943 0.089 0.237
34 O 0.123 0.310 0.069
35 O 0.310 0.498 0.069
36 O 0.498 0.123 0.069

=====

> The highest calculated volume belongs to which entry?

Ti3Cu2P6WO24